No. 1
! Ac2PaH12Rh3 (PBE-GGA, relaxed); values from VASP
&SYSTEM
  ibrav = 0, nat = 18, ntyp = 4
/
ATOMIC_SPECIES
Ac 227.00 Ac.upf
H 1.01 H.upf
Rh 102.91 Rh.upf
Pa 231.04 Pa.upf
ATOMIC_POSITIONS crystal
Ac 0.379 0.379 0.379
H 0.873 0.403 0.873
H 0.277 0.897 0.277
H 0.597 0.127 0.127
H 0.723 0.723 0.103
Rh 0.000 0.000 0.500
H 0.897 0.277 0.277
Rh 0.000 0.500 0.000
H 0.127 0.127 0.597
H 0.103 0.723 0.723
Rh 0.500 0.000 0.000
H 0.277 0.277 0.897
H 0.403 0.873 0.873
H 0.723 0.103 0.723
Ac 0.621 0.621 0.621
H 0.127 0.597 0.127
H 0.873 0.873 0.403
Pa 0.000 0.000 0.000
CELL_PARAMETERS angstrom
6.287 -0.286 -0.203
2.856 5.608 -0.203
2.856 1.662 5.359
! * uncorrected energy: -85.3 eV per cell

***

No. 2
! AcPaH6Ru2 (PBE-GGA, relaxed); values from VASP
&SYSTEM
  ibrav = 0, nat = 10, ntyp = 4
/
ATOMIC_SPECIES
Ru 101.07 Ru.upf
Ac 227.00 Ac.upf
H 1.01 H.upf
Pa 231.04 Pa.upf
ATOMIC_POSITIONS crystal
Ru 0.788 0.788 0.637
Ac 0.000 0.000 0.000
H 0.930 0.440 0.190
H 0.560 0.070 0.810
H 0.560 0.560 0.810
H 0.070 0.560 0.810
H 0.440 0.440 0.190
H 0.440 0.930 0.190
Pa 0.500 0.500 0.500
Ru 0.212 0.212 0.363
CELL_PARAMETERS angstrom
-3.669 0.477 2.889
-3.217 -3.407 0.291
0.944 -3.646 5.614
! * uncorrected energy: -56.5 eV per cell

***

No. 3
! Ac2PaH12Ru3 (PBE-GGA, relaxed); values from VASP
&SYSTEM
  ibrav = 0, nat = 18, ntyp = 4
/
ATOMIC_SPECIES
H 1.01 H.upf
Ac 227.00 Ac.upf
Ru 101.07 Ru.upf
Pa 231.04 Pa.upf
ATOMIC_POSITIONS crystal
H 0.290 0.885 0.290
Ac 0.621 0.621 0.621
Ru 0.500 0.000 0.000
Pa 0.000 0.000 0.000
H 0.115 0.710 0.710
Ru 0.000 0.500 0.000
H 0.885 0.290 0.290
Ru 0.000 0.000 0.500
H 0.871 0.401 0.871
H 0.710 0.115 0.710
H 0.871 0.871 0.401
Ac 0.379 0.379 0.379
H 0.290 0.290 0.885
H 0.599 0.129 0.129
H 0.129 0.599 0.129
H 0.401 0.871 0.871
H 0.710 0.710 0.115
H 0.129 0.129 0.599
CELL_PARAMETERS angstrom
6.165 -0.350 -0.248
2.741 5.534 -0.248
2.741 1.595 5.304
! * uncorrected energy: -90.2 eV per cell

***

No. 4
! Ac3HPb2 (PBE-GGA, relaxed); values from VASP
&SYSTEM
  ibrav = 0, nat = 24, ntyp = 3
/
ATOMIC_SPECIES
Pb 207.20 Pb.upf
H 1.01 H.upf
Ac 227.00 Ac.upf
ATOMIC_POSITIONS crystal
Pb 0.750 0.263 0.456
H 0.750 0.618 0.363
Pb 0.250 0.237 0.956
Ac 0.750 0.865 0.432
Ac 0.750 0.365 0.068
Ac 0.250 0.505 0.393
Ac 0.250 0.635 0.932
H 0.250 0.382 0.637
Ac 0.750 0.995 0.893
Pb 0.250 0.882 0.294
Ac 0.250 0.840 0.723
Pb 0.750 0.118 0.706
Ac 0.750 0.660 0.223
Ac 0.750 0.495 0.607
Pb 0.750 0.763 0.044
Ac 0.250 0.340 0.777
Pb 0.250 0.737 0.544
Pb 0.250 0.382 0.206
H 0.750 0.118 0.137
Ac 0.250 0.135 0.568
Ac 0.250 0.005 0.107
H 0.250 0.882 0.863
Ac 0.750 0.160 0.277
Pb 0.750 0.618 0.794
CELL_PARAMETERS angstrom
-4.711 -0.883 0.450
1.462 -3.545 8.355
-2.421 16.747 7.528
! * uncorrected energy: -105.4 eV per cell
! * energy relative to the lowest polymorph listed for this composition: 0 meV/atom

***

> Look up the uncorrected energy of the second one.

-56.5 eV per cell